1.
Hg4I3Cl4 | PBE | relaxed

Geometry as POSCAR:
```
Hg4I3Cl4
1.0
6.441 0.000 0.000
3.211 6.471 0.000
0.210 2.641 10.006
Hg I Cl
4 3 4
direct
0.134 0.344 0.190
0.209 0.073 0.671
0.791 0.927 0.329
0.866 0.656 0.810
0.000 0.500 0.500
0.282 0.930 0.325
0.718 0.070 0.675
0.108 0.281 0.914
0.428 0.678 0.792
0.572 0.322 0.208
0.892 0.719 0.086
```

## Properties
Magnetic moment, Bohr magnetons per cell: 0.0


2.
HgICl2 | PBE | relaxed

Geometry as POSCAR:
```
HgICl2
1.0
4.379 0.000 0.000
0.351 5.844 0.000
0.221 2.398 5.564
Hg I Cl
1 1 2
direct
0.000 0.000 0.000
0.972 0.356 0.536
0.516 0.742 0.004
0.978 0.889 0.455
```

## Properties
Magnetic moment, Bohr magnetons per cell: 0.0
ΔE to the lowest computed polymorph, meV per atom: 157


3.
HgI2Cl | PBE | relaxed

Geometry as POSCAR:
```
HgI2Cl
1.0
3.423 0.000 0.000
0.000 5.800 4.842
0.000 -5.800 4.842
Hg I Cl
1 2 1
direct
0.000 0.000 0.000
0.000 0.061 0.646
0.000 0.646 0.061
0.500 0.201 0.201
```

## Properties
Magnetic moment, Bohr magnetons per cell: 0.0
ΔE to the lowest computed polymorph, meV per atom: 73


4.
Hg2ICl3 | PBE | relaxed

Geometry as POSCAR:
```
Hg2ICl3
1.0
11.042 -2.104 0.000
11.042 2.104 0.000
-0.821 0.000 10.018
Hg I Cl
4 2 6
direct
0.075 0.075 0.431
0.316 0.316 0.900
0.684 0.684 0.100
0.925 0.925 0.569
0.338 0.338 0.554
0.662 0.662 0.446
0.029 0.029 0.676
0.254 0.254 0.152
0.422 0.422 0.942
0.578 0.578 0.058
0.746 0.746 0.848
0.971 0.971 0.324
```

## Properties
Magnetic moment, Bohr magnetons per cell: 0.0
ΔE to the lowest computed polymorph, meV per atom: 73


5.
HgI2Cl2 | PBE | relaxed

Geometry as POSCAR:
```
HgI2Cl2
1.0
5.940 -3.755 0.000
5.940 3.755 0.000
-0.621 0.000 8.938
Hg I Cl
2 4 4
direct
0.002 0.998 0.750
0.998 0.002 0.250
0.391 0.395 0.797
0.395 0.391 0.297
0.605 0.609 0.703
0.609 0.605 0.203
0.147 0.149 0.433
0.149 0.147 0.933
0.851 0.853 0.067
0.853 0.851 0.567
```

## Properties
Magnetic moment, Bohr magnetons per cell: 0.0
ΔE to the lowest computed polymorph, meV per atom: 0


6.
Hg3I5Cl | PBE | relaxed

Geometry as POSCAR:
```
Hg3I5Cl
1.0
7.323 -5.584 0.000
7.323 5.584 0.000
-6.821 0.000 10.017
Hg I Cl
6 10 2
direct
0.000 0.000 0.000
0.000 0.000 0.500
0.252 0.252 0.387
0.347 0.347 0.800
0.653 0.653 0.200
0.748 0.748 0.613
0.008 0.645 0.350
0.222 0.222 0.122
0.320 0.680 0.000
0.355 0.992 0.650
0.444 0.444 0.626
0.556 0.556 0.374
0.645 0.008 0.350
0.680 0.320 0.000
0.778 0.778 0.878
0.992 0.355 0.650
0.051 0.051 0.279
0.949 0.949 0.721
```

## Properties
Magnetic moment, Bohr magnetons per cell: 0.0


| no. | final energy (eV/cell) | E_form (uncorrected) (meV per atom) |
| --- | --- | --- |
| 1 | -17.56 | -392 |
| 2 | -6.64 | -273 |
| 3 | -6.20 | -237 |
| 4 | -20.76 | -448 |
| 5 | -17.25 | -306 |
| 6 | -25.95 | -275 |